(1)
This record from Alexandria via LeMat-Bulk describes Cs2TeBr4Cl2 after structural relaxation. The functional is PBE.

Computed properties:
Density of states at the Fermi level (states/eV/f.u.): 0.0
Calculated volume (A^3/atom): 38.80
ΔE_f (raw) (meV per atom): -1162
VASP energy (eV per atom): -2.8547

abc: 7.9171 7.9171 7.9171
angles: 89.46 120.32 120.32
Atoms (fractional coordinates):
Br 0.0000 0.7541 0.2459
Cs 0.5000 0.7500 0.2500
Te 0.0000 0.0000 0.0000
Br 0.4919 0.2459 0.2459
Cs 0.5000 0.2500 0.7500
Br 0.5081 0.7541 0.7541
Cl 0.0000 0.2286 0.2286
Br 0.0000 0.2459 0.7541
Cl 0.0000 0.7714 0.7714

(2)
This record from Alexandria via LeMat-Bulk describes Cs2TeBrCl6 after structural relaxation. The functional is PBE.

Computed properties:
Density of states at the Fermi level (states/eV/f.u.): 1.8
Calculated volume (A^3/atom): 37.46
ΔE_f (raw) (meV per atom): -1082
VASP energy (eV per atom): -2.8423

abc: 8.4257 8.4257 7.9588
angles: 58.04 58.04 90.00
Atoms (fractional coordinates):
Cs 0.2500 0.7500 0.5000
Cl 0.7546 0.7546 0.4908
Cl 0.2145 0.7855 0.0000
Te 0.0000 0.0000 0.0000
Cl 0.2454 0.2454 0.5092
Cl 0.7855 0.2145 0.0000
Cl 0.2145 0.2145 0.0000
Cl 0.7855 0.7855 0.0000
Br 0.5000 0.5000 0.0000
Cs 0.7500 0.2500 0.5000

(3)
This record from Alexandria via LeMat-Bulk describes Cs2TeBrCl6 after structural relaxation. The functional is PBE.

Computed properties:
Density of states at the Fermi level (states/eV/f.u.): 4.1
Calculated volume (A^3/atom): 37.28
ΔE_f (raw) (meV per atom): -1074
VASP energy (eV per atom): -2.8338

abc: 7.6938 8.2990 11.6777
angles: 90.00 90.00 90.00
Atoms (fractional coordinates):
Cl 0.7696 0.0379 0.0000
Cl 0.0000 0.8140 0.2177
Cl 0.7304 0.9621 0.5000
Cl 0.5000 0.1860 0.2823
Te 0.0000 0.8185 0.0000
Cl 0.2333 0.5998 0.0000
Br 0.0000 0.6751 0.5000
Cs 0.0000 0.2523 0.7500
Cl 0.2304 0.0379 0.0000
Cl 0.2696 0.9621 0.5000
Cs 0.0000 0.2523 0.2500
Cs 0.5000 0.7477 0.7500
Te 0.5000 0.1815 0.5000
Cl 0.2667 0.4002 0.5000
Cs 0.5000 0.7477 0.2500
Cl 0.7333 0.4002 0.5000
Cl 0.5000 0.1860 0.7177
Br 0.5000 0.3249 0.0000
Cl 0.0000 0.8140 0.7823
Cl 0.7667 0.5998 0.0000

(4)
This record from Alexandria via LeMat-Bulk describes CsTeBrCl2 after structural relaxation. The functional is PBE.

Computed properties:
Density of states at the Fermi level (states/eV/f.u.): 2.7
Calculated volume (A^3/atom): 36.77
ΔE_f (raw) (meV per atom): -944
VASP energy (eV per atom): -2.8166

abc: 5.5790 5.5790 5.9072
angles: 90.00 90.00 90.00
Atoms (fractional coordinates):
Te 0.0000 0.0000 0.0000
Br 0.0000 0.0000 0.5000
Cs 0.5000 0.5000 0.5000
Cl 0.5000 0.0000 0.0000
Cl 0.0000 0.5000 0.0000